Record 1
Al2InW after structural relaxation. Source: the Alexandria database, functional PBE.

The structure in extended XYZ format:
```
4
Lattice="4.628 0.000 0.000 2.314 4.008 0.000 2.314 1.336 3.779" Properties=species:S:1:pos:R:3 pbc="T T T"
W 2.314 1.336 0.945
Al 0.000 0.000 0.000
In 4.628 2.672 1.889
Al 6.942 4.008 2.834
```

## Properties
V	17.52	Å³/atom
formation energy from the elements	642.7	meV/atom
DFT total energy	-5.15	eV per atom

---

Record 2
AlInW3 after structural relaxation. Source: the Alexandria database, functional PBE.

The structure in extended XYZ format:
```
5
Lattice="4.853 0.000 0.000 0.000 4.853 0.000 0.000 0.000 4.853" Properties=species:S:1:pos:R:3 pbc="T T T"
W 0.000 2.426 0.000
Al 2.426 2.426 2.426
W 2.426 0.000 0.000
W 0.000 0.000 2.426
In 0.000 0.000 0.000
```

## Properties
V	22.85	Å³/atom
formation energy from the elements	2828.7	meV/atom
DFT total energy	-6.24	eV per atom
energy above the lowest structure with this stoichiometry	1100	meV/atom

---

Record 3
YAlIn after structural relaxation. Source: the Alexandria database, functional PBE.

The structure in extended XYZ format:
```
12
Lattice="4.235 0.000 0.000 0.000 6.083 0.000 0.000 0.000 11.115" Properties=species:S:1:pos:R:3 pbc="T T T"
Al 2.117 1.521 8.337
Al 0.000 1.520 2.778
Al 0.000 4.562 2.778
Y 2.117 3.041 0.739
Al 2.117 4.562 8.337
Y 0.000 0.000 10.377
In 0.000 0.000 7.115
In 0.000 3.041 9.559
Y 0.000 3.041 6.296
In 2.117 3.041 4.000
In 2.117 0.000 1.556
Y 2.117 0.000 4.819
```

## Properties
V	23.86	Å³/atom
formation energy from the elements	-374.8	meV/atom
DFT total energy	-4.69	eV per atom

---

Record 4
YAlIn3 after structural relaxation. Source: the Alexandria database, functional PBE.

The structure in extended XYZ format:
```
5
Lattice="-1.975 5.513 -0.332 -4.926 -1.600 2.752 2.496 1.205 5.169" Properties=species:S:1:pos:R:3 pbc="T T T"
In -0.988 2.756 -0.166
In 1.248 0.603 2.584
Al -2.203 2.559 3.795
In -2.463 -0.800 1.376
Y 0.000 0.000 0.000
```

## Properties
V	40.35	Å³/atom
formation energy from the elements	769.2	meV/atom
DFT total energy	-2.92	eV per atom
energy above the lowest structure with this stoichiometry	542	meV/atom

---

Record 5
Y4Al2In after structural relaxation. Source: the Alexandria database, functional PBE.

The structure in extended XYZ format:
```
7
Lattice="-0.043 1.837 4.792 1.233 -3.060 3.932 8.385 1.812 2.130" Properties=species:S:1:pos:R:3 pbc="T T T"
Y 5.263 0.944 2.434
Y 7.584 1.071 5.155
Y 4.312 -0.356 8.420
Al 2.361 0.138 2.717
In 0.000 0.000 0.000
Y 1.991 -0.483 5.700
Al 7.214 0.451 8.138
```

## Properties
V	27.14	Å³/atom
formation energy from the elements	-291.9	meV/atom
DFT total energy	-5.45	eV per atom
energy above the lowest structure with this stoichiometry	0	meV/atom

---

Record 6
Y5Al4In after structural relaxation. Source: the Alexandria database, functional PBE.

The structure in extended XYZ format:
```
10
Lattice="-0.607 -1.026 -3.404 2.730 -2.347 0.221 -11.706 -13.051 6.020" Properties=species:S:1:pos:R:3 pbc="T T T"
Al -2.433 -2.713 1.251
Y -4.791 -8.212 1.418
Y -7.061 -10.742 2.585
Al -6.986 -7.789 3.593
Y -2.522 -5.682 0.251
In 0.000 0.000 0.000
Al -9.273 -10.339 4.769
Y -0.219 -3.114 -0.933
Y -9.364 -13.310 3.770
Al -4.720 -5.262 2.427
```

## Properties
V	24.11	Å³/atom
formation energy from the elements	-431.0	meV/atom
DFT total energy	-5.43	eV per atom

---

Record 7
Y5AlIn3 after structural relaxation. Source: the Alexandria database, functional PBE.

The structure in extended XYZ format:
```
18
Lattice="6.614 0.000 0.000 0.000 9.250 0.000 0.000 -4.625 8.011" Properties=species:S:1:pos:R:3 pbc="T T T"
Y 4.960 7.969 2.218
Al 0.000 0.000 0.000
In 1.653 2.882 4.992
Y 3.307 4.625 2.671
Y 4.960 3.344 5.793
In 1.653 7.507 3.019
Al 3.307 0.000 0.000
In 4.960 -2.882 4.992
In 1.653 3.486 0.000
Y 0.000 0.000 5.341
Y 3.307 0.000 5.341
Y 1.653 -3.344 5.793
In 4.960 1.743 3.019
Y 1.653 6.688 0.000
Y 1.653 1.281 2.218
In 4.960 5.764 0.000
Y 0.000 4.625 2.671
Y 4.960 2.562 0.000
```

## Properties
V	27.23	Å³/atom
formation energy from the elements	-451.5	meV/atom
DFT total energy	-5.37	eV per atom

---

Record 8
YAlIn4 after structural relaxation. Source: the Alexandria database, functional PBE.

The structure in extended XYZ format:
```
6
Lattice="0.000 4.264 4.264 4.264 0.000 4.264 4.264 4.264 0.000" Properties=species:S:1:pos:R:3 pbc="T T T"
In 3.194 3.194 3.194
Al 0.000 0.000 0.000
In 5.335 5.335 3.194
Y 6.397 6.397 6.397
In 5.335 3.194 5.335
In 3.194 5.335 5.335
```

## Properties
V	25.85	Å³/atom
formation energy from the elements	16.7	meV/atom
DFT total energy	-3.51	eV per atom

---

Record 9
Y4AlIn after structural relaxation. Source: the Alexandria database, functional PBE.

The structure in extended XYZ format:
```
6
Lattice="-3.636 -0.144 0.859 1.962 -2.340 7.906 0.156 5.439 1.572" Properties=species:S:1:pos:R:3 pbc="T T T"
Al 0.000 0.000 0.000
In -0.759 1.477 5.169
Y -0.262 3.696 7.641
Y 1.650 0.843 7.122
Y 0.467 2.256 2.356
Y -1.255 -0.742 2.696
```

## Properties
V	29.91	Å³/atom
formation energy from the elements	-79.6	meV/atom
DFT total energy	-5.47	eV per atom
energy above the lowest structure with this stoichiometry	25	meV/atom

---

Record 10
YAlIn3 after structural relaxation. Source: the Alexandria database, functional PBE.

The structure in extended XYZ format:
```
5
Lattice="5.233 0.000 0.000 0.000 5.233 0.000 0.000 0.000 5.233" Properties=species:S:1:pos:R:3 pbc="T T T"
Y 2.616 2.616 2.616
In 0.000 2.616 0.000
In 0.000 0.000 2.616
In 2.616 0.000 0.000
Al 0.000 0.000 0.000
```

## Properties
V	28.65	Å³/atom
formation energy from the elements	227.1	meV/atom
DFT total energy	-3.46	eV per atom
energy above the lowest structure with this stoichiometry	0	meV/atom

---

Record 11
YAlIn after structural relaxation. Source: the Alexandria database, functional PBE.

The structure in extended XYZ format:
```
3
Lattice="4.766 0.000 0.000 2.383 4.127 0.000 2.383 1.376 3.891" Properties=species:S:1:pos:R:3 pbc="T T T"
Al 7.149 4.127 2.918
Y 4.766 2.752 1.946
In 0.000 0.000 0.000
```

## Properties
V	25.51	Å³/atom
formation energy from the elements	-216.2	meV/atom
DFT total energy	-4.53	eV per atom

---

Record 12
YAlIn after structural relaxation. Source: the Alexandria database, functional PBE.

The structure in extended XYZ format:
```
6
Lattice="-0.864 1.526 4.777 -0.234 -4.497 4.105 4.928 2.029 2.954" Properties=species:S:1:pos:R:3 pbc="T T T"
Y 1.432 0.337 2.862
In 4.496 1.483 3.050
Al 1.218 -2.100 9.023
In 1.628 -0.835 5.982
Y 3.320 -0.114 8.768
Al 0.008 -2.135 3.394
```

## Properties
V	25.70	Å³/atom
formation energy from the elements	-14.2	meV/atom
DFT total energy	-4.33	eV per atom